Density functional theory data (PBE) for a geometry-optimized BeTcRuW structure.

## Properties
Magnetic moment, μB per atom: 0.000
Formation energy, meV per atom: -102
V, Å³ per cell: 218.1

CIF file:
```
data_BeTcRuW
_chemical_formula_sum 'Be4 Tc4 Ru4 W4'
_symmetry_space_group_name_H-M 'F -4 3 m'
_symmetry_Int_Tables_number 216
_symmetry_space_group_name_Hall 'F -4 2 3'
_cell_length_a 6.0196
_cell_length_b 6.0196
_cell_length_c 6.0196
_cell_angle_alpha 90.00
_cell_angle_beta 90.00
_cell_angle_gamma 90.00
loop_
_atom_site_label
_atom_site_fract_x
_atom_site_fract_y
_atom_site_fract_z
_atom_site_occupancy
Be1 0.0000 0.0000 0.0000 1
Tc1 0.2500 0.2500 0.2500 1
Ru1 0.2500 0.2500 0.7500 1
W1 0.0000 0.0000 0.5000 1
```

=====

Density functional theory data (PBE) for a geometry-optimized Be4TeRu structure.

## Properties
Magnetic moment, μB per atom: 0.000
Raw total energy, eV/atom: -4.44
V, Å³ per cell: 275.5

CIF file:
```
data_Be4TeRu
_chemical_formula_sum 'Be16 Te4 Ru4'
_symmetry_space_group_name_H-M 'F -4 3 m'
_symmetry_Int_Tables_number 216
_symmetry_space_group_name_Hall 'F -4 2 3'
_cell_length_a 6.5071
_cell_length_b 6.5071
_cell_length_c 6.5071
_cell_angle_alpha 90.00
_cell_angle_beta 90.00
_cell_angle_gamma 90.00
loop_
_atom_site_label
_atom_site_fract_x
_atom_site_fract_y
_atom_site_fract_z
_atom_site_occupancy
Be1 0.1198 0.1198 0.1198 1
Te1 0.0000 0.0000 0.5000 1
Ru1 0.2500 0.2500 0.7500 1
```

=====

Density functional theory data (PBE) for a geometry-optimized BeTe3Ru structure.

## Properties
Magnetic moment, μB per atom: 0.000
Energy relative to the lowest polymorph listed for this composition, kcal/mol of atoms: 0.555
V, Å³ per cell: 140.8

CIF file:
```
data_BeTe3Ru
_chemical_formula_sum 'Be1 Te3 Ru1'
_symmetry_space_group_name_H-M 'P m -3 m'
_symmetry_Int_Tables_number 221
_symmetry_space_group_name_Hall '-P 4 2 3'
_cell_length_a 5.2021
_cell_length_b 5.2021
_cell_length_c 5.2021
_cell_angle_alpha 90.00
_cell_angle_beta 90.00
_cell_angle_gamma 90.00
loop_
_atom_site_label
_atom_site_fract_x
_atom_site_fract_y
_atom_site_fract_z
_atom_site_occupancy
Be1 0.0000 0.0000 0.0000 1
Te1 0.0000 0.5000 0.5000 1
Ru1 0.5000 0.5000 0.5000 1
```

=====

Density functional theory data (PBE) for a geometry-optimized BeTe2Ru structure.

## Properties
Magnetic moment, μB per atom: 0.000
Raw total energy, eV/atom: -4.25
V, Å³ per cell: 148.3

CIF file:
```
data_BeTe2Ru
_chemical_formula_sum 'Be2 Te4 Ru2'
_symmetry_space_group_name_H-M 'C m m m'
_symmetry_Int_Tables_number 65
_symmetry_space_group_name_Hall '-C 2 2'
_cell_length_a 6.2556
_cell_length_b 7.1958
_cell_length_c 3.2937
_cell_angle_alpha 90.00
_cell_angle_beta 90.00
_cell_angle_gamma 90.00
loop_
_atom_site_label
_atom_site_fract_x
_atom_site_fract_y
_atom_site_fract_z
_atom_site_occupancy
Be1 0.0000 0.0000 0.0000 1
Te1 0.2500 0.2500 0.5000 1
Ru1 0.0000 0.5000 0.0000 1
```

=====

Density functional theory data (PBE) for a geometry-optimized BeTe2Ru structure.

## Properties
Magnetic moment, μB per atom: 0.000
Raw total energy, eV/atom: -4.15
V, Å³ per cell: 166.1

CIF file:
```
data_BeTe2Ru
_chemical_formula_sum 'Be2 Te4 Ru2'
_symmetry_space_group_name_H-M 'I -4 m 2'
_symmetry_Int_Tables_number 119
_symmetry_space_group_name_Hall 'I -4 -2'
_cell_length_a 3.7172
_cell_length_b 3.7172
_cell_length_c 12.0188
_cell_angle_alpha 90.00
_cell_angle_beta 90.00
_cell_angle_gamma 90.00
loop_
_atom_site_label
_atom_site_fract_x
_atom_site_fract_y
_atom_site_fract_z
_atom_site_occupancy
Be1 0.0000 0.0000 0.0000 1
Te1 0.0000 0.0000 0.5000 1
Te2 0.0000 0.5000 0.2500 1
Ru1 0.0000 0.5000 0.7500 1
```

=====

Density functional theory data (PBE) for a geometry-optimized BeTe2Ru structure.

## Properties
Magnetic moment, μB per atom: 0.000
Raw total energy, eV/atom: -3.90
V, Å³ per cell: 309.2

CIF file:
```
data_BeTe2Ru
_chemical_formula_sum 'Be4 Te8 Ru4'
_symmetry_space_group_name_H-M 'F -4 3 m'
_symmetry_Int_Tables_number 216
_symmetry_space_group_name_Hall 'F -4 2 3'
_cell_length_a 6.7622
_cell_length_b 6.7622
_cell_length_c 6.7622
_cell_angle_alpha 90.00
_cell_angle_beta 90.00
_cell_angle_gamma 90.00
loop_
_atom_site_label
_atom_site_fract_x
_atom_site_fract_y
_atom_site_fract_z
_atom_site_occupancy
Be1 0.0000 0.0000 0.0000 1
Te1 0.0000 0.0000 0.5000 1
Te2 0.2500 0.2500 0.7500 1
Ru1 0.2500 0.2500 0.2500 1
```

=====

Density functional theory data (PBE) for a geometry-optimized BeTe2Ru structure.

## Properties
Magnetic moment, μB per atom: 0.151
Raw total energy, eV/atom: -4.77
V, Å³ per cell: 82.9

CIF file:
```
data_BeTe2Ru
_chemical_formula_sum 'Be1 Te2 Ru1'
_symmetry_space_group_name_H-M 'P m m 2'
_symmetry_Int_Tables_number 25
_cell_length_a 3.2193
_cell_length_b 3.2796
_cell_length_c 7.8547
_cell_angle_alpha 90.00
_cell_angle_beta 90.00
_cell_angle_gamma 90.00
loop_
_symmetry_equiv_pos_as_xyz
'x,y,z'
'-x,-y,z'
'-x,y,z'
'x,-y,z'
loop_
_atom_site_label
_atom_site_fract_x
_atom_site_fract_y
_atom_site_fract_z
_atom_site_occupancy
Be1 0.0000 0.0000 0.0000 1
Te1 0.0000 0.0000 0.6654 1
Te2 0.5000 0.5000 0.2044 1
Ru1 0.5000 0.5000 0.8645 1
```

=====

Density functional theory data (PBE) for a geometry-optimized BeTeRu4 structure.

## Properties
Magnetic moment, μB per atom: 0.004
Raw total energy, eV/atom: -6.59
V, Å³ per cell: 387.7

CIF file:
```
data_BeTeRu4
_chemical_formula_sum 'Be4 Te4 Ru16'
_symmetry_space_group_name_H-M 'F -4 3 m'
_symmetry_Int_Tables_number 216
_symmetry_space_group_name_Hall 'F -4 2 3'
_cell_length_a 7.2915
_cell_length_b 7.2915
_cell_length_c 7.2915
_cell_angle_alpha 90.00
_cell_angle_beta 90.00
_cell_angle_gamma 90.00
loop_
_atom_site_label
_atom_site_fract_x
_atom_site_fract_y
_atom_site_fract_z
_atom_site_occupancy
Be1 0.0000 0.0000 0.0000 1
Te1 0.2500 0.2500 0.7500 1
Ru1 0.1251 0.1251 0.3749 1
```